K3Tb2IrO6 | the Alexandria database | PBE | relaxed; D(E_F) = 0.00 states/eV/cell; energy relative to the elements, uncorrected = -24.9 eV per formula unit; total energy = -76.02 eV per cell
1.0
-3.513 4.633 -0.557
-1.511 -4.391 3.543
4.598 2.717 3.736
K O Ir Tb
3 6 1 2
Direct
0.839 0.161 0.500
0.500 0.500 0.500
0.161 0.839 0.500
0.937 0.619 0.812
0.063 0.381 0.188
0.257 0.257 0.813
0.743 0.743 0.187
0.381 0.063 0.188
0.619 0.937 0.812
0.000 0.000 0.000
0.667 0.333 0.000
0.333 0.667 0.000